Entry 1:
A plane-wave DFT calculation with PBE was carried out for crystalline RbTiAs3 at its relaxed geometry.

a b c (Å): 5.0268 5.0268 5.0268
angles (deg): 90.00 90.00 90.00
Last column: nearest neighbours and their distance in Å.
Space group Pm-3m (No. 221)
Inequivalent atoms, fractional coordinates:
Rb 0.0000 0.0000 0.0000  12 As 3.55
Ti 0.5000 0.5000 0.5000  6 As 2.51
As 0.0000 0.5000 0.5000  2 Ti 2.51

Calculated values
Energy of formation, eV per atom: -0.26
E_tot, eV per cell: -24.123
Energy above the most stable polymorph in this dataset, meV/atom: 0.0
DOS(E_F), states/eV/f.u.: 4.39



Entry 2:
A plane-wave DFT calculation with PBE was carried out for crystalline Ca3Th at its relaxed geometry.

a b c (Å): 3.4796 3.6157 12.2907
angles (deg): 90.00 90.00 90.00
Last column: nearest neighbours and their distance in Å.
Space group Pmm2 (No. 25)
Inequivalent atoms, fractional coordinates:
Ca 0.0000 0.0000 0.0000  6 Ca 3.48-3.82
Ca 0.0000 0.5000 0.2733  6 Ca 3.48-3.82, 4 Th 3.73
Ca 0.5000 0.5000 0.7530  4 Ca 3.48-3.62, 2 Th 3.62
Th 0.5000 0.0000 0.4980  4 Th 3.48-3.62, 6 Ca 3.62-3.73

Calculated values
Energy of formation, eV per atom: 0.28
E_tot, eV per cell: -12.291
DOS(E_F), states/eV/f.u.: 6.81